LaPrIr2: optimized geometry, GGA-PBE.

Cell: 3.695 4.990 4.990 Å, 90.00 90.00 90.00°
Element x y z (fractional)
1 La 0.500 0.000 0.000
2 Pr 0.500 0.500 0.500
3 Ir 0.000 0.500 0.000
4 Ir 0.000 0.000 0.500

Output
**Energy of formation**: -0.533 eV/atom
**D(E_F)**: 0.50 states/eV/atom

=====

P3C: optimized geometry, GGA-PBE.

Cell: 4.029 4.029 4.029 Å, 90.00 90.00 90.00°
Element x y z (fractional)
1 P 0.000 0.000 0.500
2 P 0.500 0.000 0.000
3 P 0.000 0.500 0.000
4 C 0.000 0.000 0.000

Output
**Energy of formation**: 1.557 eV/atom
**D(E_F)**: 0.42 states/eV/atom

=====

What is the D(E_F) in the first record?
0.50 states/eV/atom